[1]
Entry from Alexandria via LeMat-Bulk: a relaxed Co2SbRu crystal (PBE). Values from VASP.

Calculated values
SG: I-4m2 (119)
DFT total energy: -6.80 eV per atom
Uncorrected formation energy: 0.10 eV per atom
Crystal system: tetragonal

```
&SYSTEM
  ibrav = 0, nat = 4, ntyp = 3
/
ATOMIC_SPECIES
Co 58.93 Co.upf
Sb 121.76 Sb.upf
Ru 101.07 Ru.upf
ATOMIC_POSITIONS angstrom
Co 0.0000 0.0000 0.0000
Co 0.0000 1.9389 1.8370
Sb 1.9389 0.0000 1.8370
Ru 0.0000 0.0000 3.6739
CELL_PARAMETERS angstrom
-1.9389 1.9389 3.6739
1.9389 -1.9389 3.6739
1.9389 1.9389 -3.6739
```

[2]
Entry from Alexandria via LeMat-Bulk: a relaxed Co2SbRu crystal (PBE). Values from VASP.

Calculated values
SG: Pm (6)
DFT total energy: -6.63 eV per atom
Uncorrected formation energy: 0.27 eV per atom
Crystal system: monoclinic

```
&SYSTEM
  ibrav = 0, nat = 4, ntyp = 3
/
ATOMIC_SPECIES
Co 58.93 Co.upf
Sb 121.76 Sb.upf
Ru 101.07 Ru.upf
ATOMIC_POSITIONS angstrom
Co 0.0000 0.0000 0.0000
Co 0.0095 2.0408 1.4529
Sb 0.0675 2.0408 3.9432
Ru 1.4604 0.0000 2.1626
CELL_PARAMETERS angstrom
2.9056 0.0000 0.0000
0.0000 4.0815 0.0000
-1.3909 0.0000 4.7329
```

[3]
Entry from Alexandria via LeMat-Bulk: a relaxed Co2SbRu crystal (PBE). Values from VASP.

Calculated values
SG: Pmm2 (25)
DFT total energy: -6.65 eV per atom
Uncorrected formation energy: 0.25 eV per atom
Crystal system: orthorhombic

```
&SYSTEM
  ibrav = 0, nat = 4, ntyp = 3
/
ATOMIC_SPECIES
Co 58.93 Co.upf
Sb 121.76 Sb.upf
Ru 101.07 Ru.upf
ATOMIC_POSITIONS angstrom
Co 0.0000 0.0000 0.0000
Co 1.5485 1.6537 1.0473
Sb 1.5485 1.6537 4.0331
Ru 0.0000 0.0000 2.5805
CELL_PARAMETERS angstrom
3.0970 0.0000 0.0000
0.0000 3.3074 0.0000
0.0000 0.0000 5.5930
```

[4]
Entry from Alexandria via LeMat-Bulk: a relaxed CoSb2Ru crystal (PBE). Values from VASP.

Calculated values
SG: P4/mmm (123)
DFT total energy: -5.94 eV per atom
Uncorrected formation energy: 0.21 eV per atom
Crystal system: tetragonal
Distance to the lowest polymorph of the same formula: 0.177 eV/atom

```
&SYSTEM
  ibrav = 0, nat = 4, ntyp = 3
/
ATOMIC_SPECIES
Co 58.93 Co.upf
Sb 121.76 Sb.upf
Ru 101.07 Ru.upf
ATOMIC_POSITIONS angstrom
Co 0.0000 0.0000 0.0000
Sb 1.6384 1.6384 1.5621
Sb 1.6384 1.6384 4.8207
Ru 0.0000 0.0000 3.1914
CELL_PARAMETERS angstrom
3.2768 0.0000 0.0000
0.0000 3.2768 0.0000
0.0000 0.0000 6.3828
```

[5]
Entry from Alexandria via LeMat-Bulk: a relaxed CoSb2Ru crystal (PBE). Values from VASP.

Calculated values
SG: I-4m2 (119)
DFT total energy: -5.81 eV per atom
Uncorrected formation energy: 0.35 eV per atom
Crystal system: tetragonal
Distance to the lowest polymorph of the same formula: 0.314 eV/atom

```
&SYSTEM
  ibrav = 0, nat = 4, ntyp = 3
/
ATOMIC_SPECIES
Co 58.93 Co.upf
Sb 121.76 Sb.upf
Ru 101.07 Ru.upf
ATOMIC_POSITIONS angstrom
Co 0.0000 0.0000 0.0000
Sb 0.0000 0.0000 4.8304
Sb 0.0000 1.9005 2.4152
Ru 1.9005 0.0000 2.4152
CELL_PARAMETERS angstrom
-1.9005 1.9005 4.8304
1.9005 -1.9005 4.8304
1.9005 1.9005 -4.8304
```

[6]
Entry from Alexandria via LeMat-Bulk: a relaxed Co2SbRu crystal (PBE). Values from VASP.

Calculated values
SG: Immm (71)
DFT total energy: -6.64 eV per atom
Uncorrected formation energy: 0.27 eV per atom
Crystal system: orthorhombic

```
&SYSTEM
  ibrav = 0, nat = 4, ntyp = 3
/
ATOMIC_SPECIES
Co 58.93 Co.upf
Sb 121.76 Sb.upf
Ru 101.07 Ru.upf
ATOMIC_POSITIONS angstrom
Co 0.0000 0.0000 2.0545
Co 0.0000 0.0000 6.5055
Sb 1.5457 0.0000 0.0000
Ru 0.0000 2.1538 0.0000
CELL_PARAMETERS angstrom
-1.5457 2.1538 4.2800
1.5457 -2.1538 4.2800
1.5457 2.1538 -4.2800
```

[7]
Entry from Alexandria via LeMat-Bulk: a relaxed Co2SbRu crystal (PBE). Values from VASP.

Calculated values
SG: R-3m (166)
DFT total energy: -6.37 eV per atom
Uncorrected formation energy: 0.53 eV per atom
Crystal system: trigonal

```
&SYSTEM
  ibrav = 0, nat = 4, ntyp = 3
/
ATOMIC_SPECIES
Co 58.93 Co.upf
Sb 121.76 Sb.upf
Ru 101.07 Ru.upf
ATOMIC_POSITIONS angstrom
Co 0.0000 0.0000 6.0176
Co 0.0000 0.0000 18.2548
Sb 0.0000 0.0000 0.0000
Ru 0.0000 0.0000 12.1362
CELL_PARAMETERS angstrom
1.4487 0.8364 8.0908
-1.4487 0.8364 8.0908
0.0000 -1.6728 8.0908
```

[8]
Entry from Alexandria via LeMat-Bulk: a relaxed Co2SbRu crystal (PBE). Values from VASP.

Calculated values
SG: C2/m (12)
DFT total energy: -6.64 eV per atom
Uncorrected formation energy: 0.26 eV per atom
Crystal system: monoclinic

```
&SYSTEM
  ibrav = 0, nat = 4, ntyp = 3
/
ATOMIC_SPECIES
Co 58.93 Co.upf
Sb 121.76 Sb.upf
Ru 101.07 Ru.upf
ATOMIC_POSITIONS angstrom
Co 1.9256 0.0000 1.0057
Co 5.8046 0.0000 3.4249
Sb -0.4776 0.0000 2.2153
Ru 4.3427 0.0000 0.0000
CELL_PARAMETERS angstrom
4.3427 -1.4700 0.0000
4.3427 1.4700 0.0000
-0.9552 0.0000 4.4306
```

[9]
Entry from Alexandria via LeMat-Bulk: a relaxed CoSb4Ru crystal (PBE). Values from VASP.

Calculated values
SG: F-43m (216)
DFT total energy: -4.22 eV per atom
Uncorrected formation energy: 1.26 eV per atom
Crystal system: cubic

```
&SYSTEM
  ibrav = 0, nat = 6, ntyp = 3
/
ATOMIC_SPECIES
Co 58.93 Co.upf
Sb 121.76 Sb.upf
Ru 101.07 Ru.upf
ATOMIC_POSITIONS angstrom
Co 0.0000 0.0000 0.0000
Sb 3.1759 3.1759 3.1759
Sb 5.3002 5.3002 3.1759
Sb 5.3002 3.1759 5.3002
Sb 3.1759 5.3002 5.3002
Ru 6.3571 6.3571 6.3571
CELL_PARAMETERS angstrom
0.0000 4.2381 4.2381
4.2381 0.0000 4.2381
4.2381 4.2381 0.0000
```

[10]
Entry from Alexandria via LeMat-Bulk: a relaxed Co2SbRu crystal (PBE). Values from VASP.

Calculated values
SG: P4/mmm (123)
DFT total energy: -6.75 eV per atom
Uncorrected formation energy: 0.15 eV per atom
Crystal system: tetragonal

```
&SYSTEM
  ibrav = 0, nat = 4, ntyp = 3
/
ATOMIC_SPECIES
Co 58.93 Co.upf
Sb 121.76 Sb.upf
Ru 101.07 Ru.upf
ATOMIC_POSITIONS angstrom
Co 0.0000 1.9016 0.0000
Co 1.9016 0.0000 0.0000
Sb 0.0000 0.0000 1.8854
Ru 1.9016 1.9016 1.8854
CELL_PARAMETERS angstrom
3.8031 0.0000 0.0000
0.0000 3.8031 0.0000
0.0000 0.0000 3.7708
```

[11]
Entry from Alexandria via LeMat-Bulk: a relaxed Co2SbRu crystal (PBE). Values from VASP.

Calculated values
SG: Cmmm (65)
DFT total energy: -6.64 eV per atom
Uncorrected formation energy: 0.26 eV per atom
Crystal system: orthorhombic

```
&SYSTEM
  ibrav = 0, nat = 4, ntyp = 3
/
ATOMIC_SPECIES
Co 58.93 Co.upf
Sb 121.76 Sb.upf
Ru 101.07 Ru.upf
ATOMIC_POSITIONS angstrom
Co 1.3320 1.7796 0.0000
Co 1.3320 -1.7796 0.0000
Sb 0.0000 0.0000 1.4689
Ru 2.6639 0.0000 1.4689
CELL_PARAMETERS angstrom
2.6639 -3.5592 0.0000
2.6639 3.5592 0.0000
0.0000 0.0000 2.9379
```

[12]
Entry from Alexandria via LeMat-Bulk: a relaxed CoSbRu4 crystal (PBE). Values from VASP.

Calculated values
SG: F-43m (216)
DFT total energy: -7.38 eV per atom
Uncorrected formation energy: 0.67 eV per atom
Crystal system: cubic

```
&SYSTEM
  ibrav = 0, nat = 6, ntyp = 3
/
ATOMIC_SPECIES
Co 58.93 Co.upf
Sb 121.76 Sb.upf
Ru 101.07 Ru.upf
ATOMIC_POSITIONS angstrom
Co 0.0000 0.0000 0.0000
Sb 1.8180 1.8180 1.8180
Ru 4.5478 2.7241 2.7241
Ru 2.7241 4.5478 2.7241
Ru 2.7241 2.7241 4.5478
Ru 4.5478 4.5478 4.5478
CELL_PARAMETERS angstrom
0.0000 3.6360 3.6360
3.6360 0.0000 3.6360
3.6360 3.6360 0.0000
```

The lowest uncorrected formation energy belongs to which entry? number 1

Repeat the first record exactly.
Entry from Alexandria via LeMat-Bulk: a relaxed Co2SbRu crystal (PBE). Values from VASP.

Calculated values
SG: I-4m2 (119)
DFT total energy: -6.80 eV per atom
Uncorrected formation energy: 0.10 eV per atom
Crystal system: tetragonal

```
&SYSTEM
  ibrav = 0, nat = 4, ntyp = 3
/
ATOMIC_SPECIES
Co 58.93 Co.upf
Sb 121.76 Sb.upf
Ru 101.07 Ru.upf
ATOMIC_POSITIONS angstrom
Co 0.0000 0.0000 0.0000
Co 0.0000 1.9389 1.8370
Sb 1.9389 0.0000 1.8370
Ru 0.0000 0.0000 3.6739
CELL_PARAMETERS angstrom
-1.9389 1.9389 3.6739
1.9389 -1.9389 3.6739
1.9389 1.9389 -3.6739
```

What is the DFT total energy in the ninth record? -4.22 eV per atom

Copy entry 6 word for word.
Entry from Alexandria via LeMat-Bulk: a relaxed Co2SbRu crystal (PBE). Values from VASP.

Calculated values
SG: Immm (71)
DFT total energy: -6.64 eV per atom
Uncorrected formation energy: 0.27 eV per atom
Crystal system: orthorhombic

```
&SYSTEM
  ibrav = 0, nat = 4, ntyp = 3
/
ATOMIC_SPECIES
Co 58.93 Co.upf
Sb 121.76 Sb.upf
Ru 101.07 Ru.upf
ATOMIC_POSITIONS angstrom
Co 0.0000 0.0000 2.0545
Co 0.0000 0.0000 6.5055
Sb 1.5457 0.0000 0.0000
Ru 0.0000 2.1538 0.0000
CELL_PARAMETERS angstrom
-1.5457 2.1538 4.2800
1.5457 -2.1538 4.2800
1.5457 2.1538 -4.2800
```